Record 1
Below is a crystal of TcCl5 relaxed with PBEsol, with properties calculated at the meta-GGA SCAN level.

Properties
Total magnetization: 3.640 μB per formula unit
Formation energy without anion corrections: -0.0267 eV per atom

Unit cell a=3.3594 b=6.5051 c=6.2139 alpha=90.00 beta=90.00 gamma=104.96
Positions (direct):
1 Cl 0.2303 0.4606 0.5000
2 Cl 0.6911 0.3822 0.0000
3 Cl 0.4941 0.9881 0.5000
4 Cl 0.0290 0.0579 0.0000
5 Tc 0.8622 0.7244 0.5000
6 Cl 0.3600 0.7201 0.0000



Record 2
Below is a crystal of Tc3Cl relaxed with PBEsol, with properties calculated at the meta-GGA SCAN level.

Properties
Total magnetization: 0.000 μB per formula unit
Energy above the most stable polymorph in this dataset: 436 meV/atom
Formation energy without anion corrections: 0.8215 eV per atom

Unit cell a=2.8323 b=4.4330 c=4.4330 alpha=90.00 beta=90.00 gamma=90.00
Positions (direct):
1 Cl 0.0000 0.0000 0.0000
2 Tc 0.5000 0.5000 0.0000
3 Tc 0.5000 0.0000 0.5000
4 Tc 0.0000 0.5000 0.5000



Record 3
Below is a crystal of Tc3Cl relaxed with PBEsol, with properties calculated at the meta-GGA SCAN level.

Properties
Total magnetization: 0.000 μB per formula unit
Energy above the most stable polymorph in this dataset: 111 meV/atom
Formation energy without anion corrections: 0.4969 eV per atom

Unit cell a=2.8530 b=4.2497 c=5.3166 alpha=113.56 beta=105.56 gamma=90.00
Positions (direct):
1 Cl 0.0000 0.9972 0.0000
2 Tc 0.7918 0.4949 0.5836
3 Tc 0.2082 0.9113 0.4164
4 Tc 0.5000 0.4300 0.0000



Record 4
Below is a crystal of Tc2Cl relaxed with PBEsol, with properties calculated at the meta-GGA SCAN level.

Properties
Total magnetization: 0.000 μB per formula unit
Formation energy without anion corrections: 0.7513 eV per atom

Unit cell a=2.8384 b=3.8131 c=4.5432 alpha=114.81 beta=108.20 gamma=90.00
Positions (direct):
1 Tc 0.3278 0.3278 0.6556
2 Cl 0.0000 0.0000 0.0000
3 Tc 0.6722 0.6722 0.3444



Record 5
Below is a crystal of Tc3Cl relaxed with PBEsol, with properties calculated at the meta-GGA SCAN level.

Properties
Total magnetization: 0.001 μB per formula unit
Energy above the most stable polymorph in this dataset: 0 meV/atom
Formation energy without anion corrections: 0.3857 eV per atom

Unit cell a=2.8400 b=2.8400 c=6.8368 alpha=90.00 beta=90.00 gamma=90.00
Positions (direct):
1 Cl 0.0000 0.0000 0.0000
2 Tc 0.5000 0.5000 0.2466
3 Tc 0.5000 0.5000 0.7534
4 Tc 0.0000 0.0000 0.5000



Record 6
Below is a crystal of TcTeCl3 relaxed with PBEsol, with properties calculated at the meta-GGA SCAN level.

Properties
Total magnetization: 0.483 μB per formula unit
Formation energy without anion corrections: 0.0351 eV per atom

Unit cell a=4.7477 b=4.7477 c=4.7477 alpha=90.00 beta=90.00 gamma=90.00
Positions (direct):
1 Cl 0.5000 0.0000 0.0000
2 Cl 0.0000 0.5000 0.0000
3 Tc 0.0000 0.0000 0.0000
4 Cl 0.0000 0.0000 0.5000
5 Te 0.5000 0.5000 0.5000



Record 7
Below is a crystal of TcTeCl relaxed with PBEsol, with properties calculated at the meta-GGA SCAN level.

Properties
Total magnetization: 3.364 μB per formula unit
Energy above the most stable polymorph in this dataset: 1065 meV/atom
Formation energy without anion corrections: 0.9051 eV per atom

Unit cell a=4.6013 b=4.6013 c=4.6013 alpha=60.00 beta=60.00 gamma=60.00
Positions (direct):
1 Cl 0.0000 0.0000 0.0000
2 Te 0.2500 0.2500 0.2500
3 Tc 0.5000 0.5000 0.5000



Record 8
Below is a crystal of TcTeCl relaxed with PBEsol, with properties calculated at the meta-GGA SCAN level.

Properties
Total magnetization: 0.001 μB per formula unit
Energy above the most stable polymorph in this dataset: 0 meV/atom
Formation energy without anion corrections: -0.1598 eV per atom

Unit cell a=3.2985 b=3.2985 c=6.9835 alpha=90.00 beta=90.00 gamma=120.00
Positions (direct):
1 Cl 0.0000 0.0000 0.9175
2 Tc 0.6667 0.3333 0.6690
3 Te 0.3333 0.6667 0.4135



Record 9
Below is a crystal of TiTcCl3 relaxed with PBEsol, with properties calculated at the meta-GGA SCAN level.

Properties
Total magnetization: 0.896 μB per formula unit
Energy above the most stable polymorph in this dataset: 294 meV/atom
Formation energy without anion corrections: 0.0252 eV per atom

Unit cell a=4.7135 b=4.7135 c=4.7135 alpha=90.00 beta=90.00 gamma=90.00
Positions (direct):
1 Cl 0.0000 0.0000 0.5000
2 Ti 0.5000 0.5000 0.5000
3 Tc 0.0000 0.0000 0.0000
4 Cl 0.0000 0.5000 0.0000
5 Cl 0.5000 0.0000 0.0000



Record 10
Below is a crystal of TiTcCl3 relaxed with PBEsol, with properties calculated at the meta-GGA SCAN level.

Properties
Total magnetization: 7.318 μB per formula unit
Energy above the most stable polymorph in this dataset: 0 meV/atom
Formation energy without anion corrections: -0.2690 eV per atom

Unit cell a=4.7762 b=4.7762 c=4.7762 alpha=90.00 beta=90.00 gamma=90.00
Positions (direct):
1 Tc 0.5000 0.5000 0.5000
2 Cl 0.5000 0.0000 0.0000
3 Cl 0.0000 0.5000 0.0000
4 Ti 0.0000 0.0000 0.0000
5 Cl 0.0000 0.0000 0.5000



Record 11
Below is a crystal of Tl2TcCl relaxed with PBEsol, with properties calculated at the meta-GGA SCAN level.

Properties
Total magnetization: 2.301 μB per formula unit
Energy above the most stable polymorph in this dataset: 0 meV/atom
Formation energy without anion corrections: 0.2484 eV per atom

Unit cell a=3.0838 b=5.1586 c=5.1586 alpha=90.00 beta=90.00 gamma=90.00
Positions (direct):
1 Cl 0.3818 0.0000 0.0000
2 Tc 0.3817 0.5000 0.5000
3 Tl 0.8817 0.0000 0.5000
4 Tl 0.8817 0.5000 0.0000



Record 12
Below is a crystal of Tl2TcCl relaxed with PBEsol, with properties calculated at the meta-GGA SCAN level.

Properties
Total magnetization: 0.002 μB per formula unit
Energy above the most stable polymorph in this dataset: 83 meV/atom
Formation energy without anion corrections: 0.3318 eV per atom

Unit cell a=3.2755 b=3.2872 c=7.9794 alpha=90.13 beta=90.00 gamma=90.00
Positions (direct):
1 Tc 0.5000 0.5000 0.0000
2 Tl 0.0000 0.9985 0.7943
3 Cl 0.5000 0.0000 0.5000
4 Tl 0.0000 0.0015 0.2057



Record 13
Below is a crystal of TlTcCl relaxed with PBEsol, with properties calculated at the meta-GGA SCAN level.

Properties
Total magnetization: 0.000 μB per formula unit
Formation energy without anion corrections: 0.4297 eV per atom

Unit cell a=2.9847 b=3.0647 c=7.6326 alpha=84.54 beta=78.72 gamma=60.86
Positions (direct):
1 Tl 0.3180 0.0000 0.3640
2 Tc 0.6500 0.0000 0.7001
3 Cl 0.0320 0.0000 0.9359



Record 14
Below is a crystal of TlTc2Cl relaxed with PBEsol, with properties calculated at the meta-GGA SCAN level.

Properties
Total magnetization: 0.001 μB per formula unit
Energy above the most stable polymorph in this dataset: 742 meV/atom
Formation energy without anion corrections: 0.7902 eV per atom

Unit cell a=2.8921 b=5.0745 c=5.2923 alpha=118.65 beta=105.86 gamma=90.00
Positions (direct):
1 Tc 0.7218 0.7218 0.4435
2 Cl 0.0000 0.5000 0.0000
3 Tl 0.5000 0.0000 0.0000
4 Tc 0.2782 0.2782 0.5565



Record 15
Below is a crystal of TlTc2Cl relaxed with PBEsol, with properties calculated at the meta-GGA SCAN level.

Properties
Total magnetization: 0.000 μB per formula unit
Energy above the most stable polymorph in this dataset: 0 meV/atom
Formation energy without anion corrections: 0.0478 eV per atom

Unit cell a=2.9648 b=3.0135 c=8.2267 alpha=100.60 beta=90.00 gamma=90.00
Positions (direct):
1 Tl 0.0000 0.4221 0.4685
2 Cl 0.5000 0.0836 0.7932
3 Tc 0.0000 0.2030 0.0312
4 Tc 0.5000 0.7912 0.2071



Record 16
Below is a crystal of TcWCl2 relaxed with PBEsol, with properties calculated at the meta-GGA SCAN level.

Properties
Total magnetization: 0.001 μB per formula unit
Energy above the most stable polymorph in this dataset: 514 meV/atom
Formation energy without anion corrections: 0.8847 eV per atom

Unit cell a=2.7736 b=4.2578 c=5.4226 alpha=90.00 beta=102.99 gamma=90.00
Positions (direct):
1 Cl 0.2443 0.0000 0.2487
2 Cl 0.7557 0.0000 0.7513
3 Tc 0.5000 0.5000 0.5000
4 W 0.0000 0.5000 0.0000



Record 17
Below is a crystal of TcWCl2 relaxed with PBEsol, with properties calculated at the meta-GGA SCAN level.

Properties
Total magnetization: 0.000 μB per formula unit
Energy above the most stable polymorph in this dataset: 1027 meV/atom
Formation energy without anion corrections: 1.3974 eV per atom

Unit cell a=4.2592 b=4.2592 c=4.2740 alpha=119.89 beta=119.89 gamma=90.00
Positions (direct):
1 Cl 0.7500 0.2500 0.5000
2 Tc 0.5000 0.5000 0.0000
3 Cl 0.2500 0.7500 0.5000
4 W 0.0000 0.0000 0.0000



Record 18
Below is a crystal of Tc2WCl relaxed with PBEsol, with properties calculated at the meta-GGA SCAN level.

Properties
Total magnetization: 0.000 μB per formula unit
Energy above the most stable polymorph in this dataset: 345 meV/atom
Formation energy without anion corrections: 0.6636 eV per atom

Unit cell a=2.8715 b=4.2896 c=5.0209 alpha=90.31 beta=106.62 gamma=90.00
Positions (direct):
1 Tc 0.2841 0.2709 0.5681
2 Tc 0.7159 0.7291 0.4319
3 W 0.0000 0.5000 0.0000
4 Cl 0.5000 0.0000 0.0000



Record 19
Below is a crystal of Tc2WCl relaxed with PBEsol, with properties calculated at the meta-GGA SCAN level.

Properties
Total magnetization: 0.000 μB per formula unit
Energy above the most stable polymorph in this dataset: 824 meV/atom
Formation energy without anion corrections: 1.1424 eV per atom

Unit cell a=3.6690 b=3.6690 c=5.0585 alpha=111.26 beta=111.26 gamma=90.00
Positions (direct):
1 Cl 0.2500 0.7500 0.5000
2 W 0.5000 0.5000 0.0000
3 Tc 0.0000 0.0000 0.0000
4 Tc 0.7500 0.2500 0.5000



Record 20
Below is a crystal of Tc2WCl relaxed with PBEsol, with properties calculated at the meta-GGA SCAN level.

Properties
Total magnetization: 0.000 μB per formula unit
Energy above the most stable polymorph in this dataset: 269 meV/atom
Formation energy without anion corrections: 0.5874 eV per atom

Unit cell a=2.9245 b=4.2333 c=5.1037 alpha=90.72 beta=106.65 gamma=90.00
Positions (direct):
1 Cl 0.2506 0.7797 0.5013
2 Tc 0.7560 0.2147 0.5121
3 Tc 0.0342 0.0274 0.0683
4 W 0.4592 0.4781 0.9184